i:
# TiVS GGA-PBE relaxed
data_TiVS
_cell_length_a 3.4836
_cell_length_b 3.4836
_cell_length_c 6.5712
_cell_angle_alpha 90.00
_cell_angle_beta 90.00
_cell_angle_gamma 90.00
_symmetry_space_group_name_H-M 'P 1'
_symmetry_Int_Tables_number 1
loop_
_symmetry_equiv_pos_as_xyz
'x,y,z'
loop_
_atom_site_label
_atom_site_fract_x
_atom_site_fract_y
_atom_site_fract_z
Ti1 0.2500 0.2500 0.1464
Ti2 0.7500 0.7500 0.8536
V1 0.2500 0.7500 0.5000
V2 0.7500 0.2500 0.5000
S1 0.2500 0.2500 0.7684
S2 0.7500 0.7500 0.2316
# - N(E_F) (states/eV/atom) = 0.6735

ii:
# TiVS GGA-PBE relaxed
data_TiVS
_cell_length_a 3.0700
_cell_length_b 4.6879
_cell_length_c 6.2919
_cell_angle_alpha 90.00
_cell_angle_beta 99.73
_cell_angle_gamma 90.00
_symmetry_space_group_name_H-M 'P 1'
_symmetry_Int_Tables_number 1
loop_
_symmetry_equiv_pos_as_xyz
'x,y,z'
loop_
_atom_site_label
_atom_site_fract_x
_atom_site_fract_y
_atom_site_fract_z
Ti1 0.1287 0.2500 0.2905
Ti2 0.8713 0.7500 0.7095
V1 0.3559 0.2500 0.9170
V2 0.6441 0.7500 0.0830
S1 0.2368 0.7500 0.3731
S2 0.7632 0.2500 0.6269
# - N(E_F) (states/eV/atom) = 0.8425

What is the most stable structure shown above? It is i.